# 1
An optimized crystal structure of BeNbCdIr. Source: OQMD via LeMat-Bulk, functional PBE.

```
data_BeNbCdIr
_space_group_name_H-M_alt 'F -4 3 m'
_space_group_IT_number 216
_space_group_name_Hall 'F -4 2 3'
_cell_length_a 6.276
_cell_length_b 6.276
_cell_length_c 6.276
_cell_angle_alpha 90.00
_cell_angle_beta 90.00
_cell_angle_gamma 90.00
loop_
_atom_site_label
_atom_site_type_symbol
_atom_site_fract_x
_atom_site_fract_y
_atom_site_fract_z
Be1 Be 0.000 0.000 0.000
Nb1 Nb 0.250 0.250 0.250
Cd1 Cd 0.250 0.250 0.750
Ir1 Ir 0.000 0.000 0.500
```

# 2
An optimized crystal structure of Pr2AgAs2PdO2. Source: OQMD via LeMat-Bulk, functional PBE.

```
data_Pr2AgAs2PdO2
_space_group_name_H-M_alt 'P -4 m 2'
_space_group_IT_number 115
_cell_length_a 4.202
_cell_length_b 4.202
_cell_length_c 8.458
_cell_angle_alpha 90.00
_cell_angle_beta 90.00
_cell_angle_gamma 90.00
loop_
_space_group_symop_operation_xyz
'x,y,z'
'y,-x,-z'
'-x,-y,z'
'-y,x,-z'
'-x,y,z'
'-y,-x,-z'
'x,-y,z'
'y,x,-z'
loop_
_atom_site_label
_atom_site_type_symbol
_atom_site_fract_x
_atom_site_fract_y
_atom_site_fract_z
Pr1 Pr 0.000 0.500 0.135
Ag1 Ag 0.000 0.000 0.500
As1 As 0.000 0.500 0.675
Pd1 Pd 0.500 0.500 0.500
O1 O 0.000 0.000 0.000
O2 O 0.500 0.500 0.000
```

# 3
An optimized crystal structure of HfUTe. Source: OQMD via LeMat-Bulk, functional PBE.

```
data_HfUTe
_space_group_name_H-M_alt 'F -4 3 m'
_space_group_IT_number 216
_space_group_name_Hall 'F -4 2 3'
_cell_length_a 7.102
_cell_length_b 7.102
_cell_length_c 7.102
_cell_angle_alpha 90.00
_cell_angle_beta 90.00
_cell_angle_gamma 90.00
loop_
_atom_site_label
_atom_site_type_symbol
_atom_site_fract_x
_atom_site_fract_y
_atom_site_fract_z
Hf1 Hf 0.000 0.000 0.000
U1 U 0.250 0.250 0.250
Te1 Te 0.000 0.000 0.500
```

The records above give, respectively, total magnetization values of 0.0; 0.0; 16.3 μB per cell.
The records above give, respectively, ρ values of 10.92; 7.54; 10.09 g cm⁻³.
The records above give, respectively, raw total energy values of -95.04; -50.05; -87.36 eV for the cell shown.